(1)
Here is an optimized crystal structure of LiNdMg4 from the Alexandria database. Energies are from GGA-PBE.

## Properties
- calculated formation energy (eV per atom) = 0.004
- V (Å³ per cell) = 621
- VASP energy (eV per atom) = -2.173
- energy above the lowest structure with this stoichiometry (meV/atom) = 68
- ρ (Mg/m³) = 2.66
- magnetic moment (μB per cell) = 0.00

a = 8.533 Å, b = 8.533 Å, c = 8.533 Å
α = 90.00°, β = 90.00°, γ = 90.00°
Space group F-43m (No. 216)
Unique sites:
Li 0.000 0.000 0.000
Nd 0.250 0.250 0.750
Mg 0.125 0.125 0.375

***

(2)
Here is an optimized crystal structure of LiNd4Mg2 from the Alexandria database. Energies are from GGA-PBE.

## Properties
- calculated formation energy (eV per atom) = 0.158
- V (Å³ per cell) = 671
- VASP energy (eV per atom) = -3.296
- ρ (Mg/m³) = 4.69
- magnetic moment (μB per cell) = 0.04

a = 5.4394 Å, b = 5.4394 Å, c = 26.2024 Å
α = 90.00°, β = 90.00°, γ = 120.00°
Space group R-3m (No. 166, hexagonal axes)
Unique sites:
Li 0.0000 0.0000 0.0000
Nd 0.0000 0.0000 0.1287
Nd 0.0000 0.0000 0.3812
Mg 0.0000 0.0000 0.2552

***

(3)
Here is an optimized crystal structure of LiNdMg6 from the Alexandria database. Energies are from GGA-PBE.

## Properties
- calculated formation energy (eV per atom) = -0.050
- V (Å³ per cell) = 194
- VASP energy (eV per atom) = -2.081
- ρ (Mg/m³) = 2.54
- magnetic moment (μB per cell) = 0.00

a = 4.883 Å, b = 4.883 Å, c = 8.145 Å
α = 90.00°, β = 90.00°, γ = 90.00°
Space group P4/mmm (No. 123)
Unique sites:
Li 0.000 0.000 0.000
Nd 0.000 0.000 0.500
Mg 0.000 0.500 0.225
Mg 0.500 0.500 0.000
Mg 0.500 0.500 0.500